[1]
# MnPIrN, optimized geometry, DFT PBE
data_MnPIrN
_chemical_formula_sum 'Mn2 P2 Ir2 N2'
_symmetry_space_group_name_H-M 'A m m 2'
_symmetry_Int_Tables_number 38
_symmetry_space_group_name_Hall 'A 2 -2'
_cell_length_a 2.772
_cell_length_b 2.946
_cell_length_c 12.269
_cell_angle_alpha 90.00
_cell_angle_beta 90.00
_cell_angle_gamma 90.00
loop_
_atom_site_label
_atom_site_type_symbol
_atom_site_fract_x
_atom_site_fract_y
_atom_site_fract_z
_atom_site_occupancy
Mn1 Mn 0.000 0.000 0.000 1
P1 P 0.500 0.000 0.290 1
Ir1 Ir 0.500 0.000 0.650 1
N1 N 0.000 0.000 0.375 1
# Calculated density (g cm⁻³): 9.68
# ΔE_f (raw) (eV/atom): -0.15

=====

[2]
# MnPIrN, optimized geometry, DFT PBE
data_MnPIrN
_chemical_formula_sum 'Mn1 P1 Ir1 N1'
_symmetry_space_group_name_H-M 'P m m 2'
_symmetry_Int_Tables_number 25
_symmetry_space_group_name_Hall 'P 2 -2'
_cell_length_a 2.756
_cell_length_b 3.002
_cell_length_c 6.481
_cell_angle_alpha 90.00
_cell_angle_beta 90.00
_cell_angle_gamma 90.00
loop_
_atom_site_label
_atom_site_type_symbol
_atom_site_fract_x
_atom_site_fract_y
_atom_site_fract_z
_atom_site_occupancy
Mn1 Mn 0.000 0.000 0.000 1
P1 P 0.500 0.000 0.461 1
Ir1 Ir 0.500 0.500 0.727 1
N1 N 0.000 0.000 0.307 1
# Calculated density (g cm⁻³): 9.05
# ΔE_f (raw) (eV/atom): -0.12

=====

[3]
# MnPIrN, optimized geometry, DFT PBE
data_MnPIrN
_chemical_formula_sum 'Mn3 P3 Ir3 N3'
_symmetry_space_group_name_H-M 'R 3 m'
_symmetry_Int_Tables_number 160
_symmetry_space_group_name_Hall 'R 3 -2"'
_cell_length_a 3.1931
_cell_length_b 3.1931
_cell_length_c 17.5712
_cell_angle_alpha 90.00
_cell_angle_beta 90.00
_cell_angle_gamma 120.00
loop_
_atom_site_label
_atom_site_type_symbol
_atom_site_fract_x
_atom_site_fract_y
_atom_site_fract_z
_atom_site_occupancy
Mn1 Mn 0.0000 0.0000 0.0000 1
P1 P 0.0000 0.0000 0.1267 1
Ir1 Ir 0.0000 0.0000 0.5372 1
N1 N 0.0000 0.0000 0.6580 1
# Calculated density (g cm⁻³): 9.38
# ΔE_f (raw) (eV/atom): -0.21

=====

[4]
# MnPIrN, optimized geometry, DFT PBE
data_MnPIrN
_chemical_formula_sum 'Mn2 P2 Ir2 N2'
_symmetry_space_group_name_H-M 'I m m 2'
_symmetry_Int_Tables_number 44
_symmetry_space_group_name_Hall 'I 2 -2'
_cell_length_a 2.863
_cell_length_b 4.223
_cell_length_c 8.192
_cell_angle_alpha 90.00
_cell_angle_beta 90.00
_cell_angle_gamma 90.00
loop_
_atom_site_label
_atom_site_type_symbol
_atom_site_fract_x
_atom_site_fract_y
_atom_site_fract_z
_atom_site_occupancy
Mn1 Mn 0.000 0.000 0.000 1
P1 P 0.000 0.000 0.322 1
Ir1 Ir 0.000 0.500 0.216 1
N1 N 0.000 0.500 0.955 1
# Calculated density (g cm⁻³): 9.80
# ΔE_f (raw) (eV/atom): -0.07

=====

[5]
# MnPIrN, optimized geometry, DFT PBE
data_MnPIrN
_chemical_formula_sum 'Mn1 P1 Ir1 N1'
_symmetry_space_group_name_H-M 'P 3 m 1'
_symmetry_Int_Tables_number 156
_symmetry_space_group_name_Hall 'P 3 -2"'
_cell_length_a 2.9636
_cell_length_b 2.9636
_cell_length_c 6.2495
_cell_angle_alpha 90.00
_cell_angle_beta 90.00
_cell_angle_gamma 120.00
loop_
_atom_site_label
_atom_site_type_symbol
_atom_site_fract_x
_atom_site_fract_y
_atom_site_fract_z
_atom_site_occupancy
Mn1 Mn 0.0000 0.0000 0.0000 1
P1 P 0.3333 0.6667 0.3063 1
Ir1 Ir 0.6667 0.3333 0.5675 1
N1 N 0.6667 0.3333 0.8980 1
# Calculated density (g cm⁻³): 10.21
# ΔE_f (raw) (eV/atom): -0.12

=====

[6]
# MnPIrN, optimized geometry, DFT PBE
data_MnPIrN
_chemical_formula_sum 'Mn2 P2 Ir2 N2'
_symmetry_space_group_name_H-M 'C 1 m 1'
_symmetry_Int_Tables_number 8
_symmetry_space_group_name_Hall 'C -2y'
_cell_length_a 5.070
_cell_length_b 2.928
_cell_length_c 8.464
_cell_angle_alpha 90.00
_cell_angle_beta 101.27
_cell_angle_gamma 90.00
loop_
_atom_site_label
_atom_site_type_symbol
_atom_site_fract_x
_atom_site_fract_y
_atom_site_fract_z
_atom_site_occupancy
Mn1 Mn 0.000 0.000 0.000 1
P1 P 0.152 0.000 0.468 1
Ir1 Ir 0.420 0.000 0.268 1
N1 N 0.140 0.500 0.919 1
# Calculated density (g cm⁻³): 7.87
# ΔE_f (raw) (eV/atom): -0.02